VASP calculation (PBE) on a relaxed Cs2KAg3Bi2 crystal.

```
Cs2KAg3Bi2
1.0
1.1064 -1.6840 8.5489
4.8393 -5.7161 4.5881
6.7202 0.7102 5.6105
Ag K Cs Bi
3 1 2 2
Direct
0.5000 0.0000 0.5000 Ag
0.0000 0.5000 0.5000 Ag
0.5000 0.5000 0.0000 Ag
0.5000 0.5000 0.5000 K
0.0851 0.0851 0.0851 Cs
0.9149 0.9149 0.9149 Cs
0.7530 0.7530 0.7530 Bi
0.2470 0.2470 0.2470 Bi
```

## Properties
The value obtained for the total DFT energy (no corrections) is -2.668 eV per atom.